20
Lattice="4.6158 -7.6200 0.0000 4.6158 7.6200 0.0000 -1.1910 0.0000 9.5822" Properties=species:S:1:pos:R:3 comment="GGA-PBE Tb2PrSm6Er, optimized geometry" magmom_total_mub_per_fu=0.004 ef_ev_per_atom=0.1160 volume_a3_per_fu=337.0 energy_ev_per_cell=-91.51 pbc="T T T"
Tb 1.7453 0.7713 4.3447
Tb 1.1499 -0.7713 9.1358
Tb 6.8908 0.7713 0.4464
Tb 6.2953 -0.7713 5.2376
Pr 3.7226 0.3921 7.1867
Pr 4.3181 -0.3921 2.3956
Sm 2.6549 5.9614 8.4476
Sm 1.8473 3.4133 6.5687
Sm 4.7903 5.9614 5.9258
Sm 3.9717 2.7894 0.5326
Sm 4.6644 2.7894 4.2585
Sm 5.5978 3.4133 7.8047
Sm 2.4428 -3.4133 1.7776
Sm 3.3762 -2.7894 5.3237
Sm 4.0689 -2.7894 9.0496
Sm 3.2504 -5.9614 3.6565
Sm 6.1933 -3.4133 3.0135
Sm 5.3857 -5.9614 1.1347
Er 4.3181 6.2513 2.3956
Er 3.7226 -6.2513 7.1867